First-principles (PBE-GGA) data for a geometry-optimized Zr2HIrRu structure, as listed in Alexandria via LeMat-Bulk.

```
data_Zr2HIrRu
_chemical_formula_sum 'Zr2 H1 Ir1 Ru1'
_space_group_name_H-M_alt 'P 4/m m m'
_space_group_IT_number 123
_space_group_name_Hall '-P 4 2'
_cell_length_a 4.4928
_cell_length_b 4.4928
_cell_length_c 3.6664
_cell_angle_alpha 90.00
_cell_angle_beta 90.00
_cell_angle_gamma 90.00
loop_
_atom_site_label
_atom_site_type_symbol
_atom_site_fract_x
_atom_site_fract_y
_atom_site_fract_z
_atom_site_occupancy
Zr1 Zr 0.0000 0.5000 0.0000 1
H1 H 0.0000 0.0000 0.0000 1
Ir1 Ir 0.0000 0.0000 0.5000 1
Ru1 Ru 0.5000 0.5000 0.5000 1
```

Its energy relative to the lowest polymorph listed for this composition is 40 meV/atom. As for the magnetization: 0.000 μB per formula unit.



First-principles (PBE-GGA) data for a geometry-optimized YReRh2 structure, as listed in Alexandria via LeMat-Bulk.

```
data_YReRh2
_chemical_formula_sum 'Y3 Re3 Rh6'
_space_group_name_H-M_alt 'R -3 m'
_space_group_IT_number 166
_space_group_name_Hall '-R 3 2"'
_cell_length_a 2.8929
_cell_length_b 2.8929
_cell_length_c 27.9113
_cell_angle_alpha 90.00
_cell_angle_beta 90.00
_cell_angle_gamma 120.00
loop_
_atom_site_label
_atom_site_type_symbol
_atom_site_fract_x
_atom_site_fract_y
_atom_site_fract_z
_atom_site_occupancy
Y1 Y 0.0000 0.0000 0.0000 1
Re1 Re 0.0000 0.0000 0.5000 1
Rh1 Rh 0.0000 0.0000 0.2424 1
```

Its energy relative to the lowest polymorph listed for this composition is 374 meV/atom. Its formation energy is 0.203 eV per atom. As for the magnetization: 0.054 μB per formula unit.



First-principles (PBE-GGA) data for a geometry-optimized PuTh4Sn4 structure, as listed in Alexandria via LeMat-Bulk.

```
data_PuTh4Sn4
_chemical_formula_sum 'Pu2 Th8 Sn8'
_space_group_name_H-M_alt 'P 42/n'
_space_group_IT_number 86
_cell_length_a 8.9948
_cell_length_b 8.9948
_cell_length_c 6.4068
_cell_angle_alpha 90.00
_cell_angle_beta 90.00
_cell_angle_gamma 90.00
loop_
_space_group_symop_operation_xyz
'x,y,z'
'-x,-y,-z'
'-y,x+1/2,z+1/2'
'y,-x+1/2,-z+1/2'
'-x+1/2,-y+1/2,z'
'x+1/2,y+1/2,-z'
'y+1/2,-x,z+1/2'
'-y+1/2,x,-z+1/2'
loop_
_atom_site_label
_atom_site_type_symbol
_atom_site_fract_x
_atom_site_fract_y
_atom_site_fract_z
_atom_site_occupancy
Pu1 Pu 0.2500 0.2500 0.2500 1
Th1 Th 0.0590 0.8164 0.6197 1
Sn1 Sn 0.0442 0.1473 0.8794 1
```

Its formation energy is -0.317 eV per atom. As for the magnetization: 6.381 μB per formula unit.



First-principles (PBE-GGA) data for a geometry-optimized Mg2OsPb structure, as listed in Alexandria via LeMat-Bulk.

```
data_Mg2OsPb
_chemical_formula_sum 'Mg2 Os1 Pb1'
_space_group_name_H-M_alt 'P 4/m m m'
_space_group_IT_number 123
_space_group_name_Hall '-P 4 2'
_cell_length_a 3.3616
_cell_length_b 3.3616
_cell_length_c 6.9551
_cell_angle_alpha 90.00
_cell_angle_beta 90.00
_cell_angle_gamma 90.00
loop_
_atom_site_label
_atom_site_type_symbol
_atom_site_fract_x
_atom_site_fract_y
_atom_site_fract_z
_atom_site_occupancy
Mg1 Mg 0.0000 0.0000 0.1974 1
Os1 Os 0.5000 0.5000 0.0000 1
Pb1 Pb 0.5000 0.5000 0.5000 1
```

Its formation energy is 0.244 eV per atom. As for the magnetization: 0.000 μB per formula unit.



First-principles (PBE-GGA) data for a geometry-optimized Ge2C2I structure, as listed in Alexandria via LeMat-Bulk.

```
data_Ge2C2I
_chemical_formula_sum 'Ge4 C4 I2'
_space_group_name_H-M_alt 'I 4/m m m'
_space_group_IT_number 139
_space_group_name_Hall '-I 4 2'
_cell_length_a 3.7786
_cell_length_b 3.7786
_cell_length_c 13.1829
_cell_angle_alpha 90.00
_cell_angle_beta 90.00
_cell_angle_gamma 90.00
loop_
_atom_site_label
_atom_site_type_symbol
_atom_site_fract_x
_atom_site_fract_y
_atom_site_fract_z
_atom_site_occupancy
Ge1 Ge 0.0000 0.0000 0.1821 1
C1 C 0.0000 0.5000 0.2500 1
I1 I 0.0000 0.0000 0.5000 1
```

For the raw formation energy, the calculation gives 1.350 eV/atom. Its energy relative to the lowest polymorph listed for this composition is 110 meV/atom. As for the magnetization: 0.000 μB per formula unit.



First-principles (PBE-GGA) data for a geometry-optimized Be6NiOs structure, as listed in Alexandria via LeMat-Bulk.

```
data_Be6NiOs
_chemical_formula_sum 'Be48 Ni8 Os8'
_space_group_name_H-M_alt 'C m m m'
_space_group_IT_number 65
_space_group_name_Hall '-C 2 2'
_cell_length_a 6.3315
_cell_length_b 9.5828
_cell_length_c 9.6350
_cell_angle_alpha 90.00
_cell_angle_beta 90.00
_cell_angle_gamma 90.00
loop_
_atom_site_label
_atom_site_type_symbol
_atom_site_fract_x
_atom_site_fract_y
_atom_site_fract_z
_atom_site_occupancy
Be1 Be 0.0000 0.0000 0.0000 1
Be2 Be 0.0000 0.0000 0.5000 1
Be3 Be 0.0000 0.2479 0.2386 1
Be4 Be 0.0000 0.5000 0.0000 1
Be5 Be 0.0000 0.5000 0.5000 1
Be6 Be 0.2295 0.3701 0.3619 1
Be7 Be 0.2404 0.1258 0.1202 1
Ni1 Ni 0.0000 0.2648 0.0000 1
Ni2 Ni 0.0000 0.5000 0.2325 1
Os1 Os 0.0000 0.0000 0.2682 1
Os2 Os 0.0000 0.2418 0.5000 1
```

Its formation energy is -0.237 eV per atom. As for the magnetization: 0.000 μB per formula unit.



First-principles (PBE-GGA) data for a geometry-optimized KIrRh structure, as listed in Alexandria via LeMat-Bulk.

```
data_KIrRh
_chemical_formula_sum 'K2 Ir2 Rh2'
_space_group_name_H-M_alt 'I 4 m m'
_space_group_IT_number 107
_space_group_name_Hall 'I 4 -2'
_cell_length_a 2.8156
_cell_length_b 2.8156
_cell_length_c 14.6037
_cell_angle_alpha 90.00
_cell_angle_beta 90.00
_cell_angle_gamma 90.00
loop_
_atom_site_label
_atom_site_type_symbol
_atom_site_fract_x
_atom_site_fract_y
_atom_site_fract_z
_atom_site_occupancy
K1 K 0.0000 0.0000 0.0000 1
Ir1 Ir 0.0000 0.0000 0.6891 1
Rh1 Rh 0.0000 0.0000 0.3057 1
```

Its energy relative to the lowest polymorph listed for this composition is 189 meV/atom. Its formation energy is 0.551 eV per atom. As for the magnetization: 0.000 μB per formula unit.



First-principles (PBE-GGA) data for a geometry-optimized Ho2ThSn structure, as listed in Alexandria via LeMat-Bulk.

```
data_Ho2ThSn
_chemical_formula_sum 'Ho2 Th1 Sn1'
_space_group_name_H-M_alt 'P 4/m m m'
_space_group_IT_number 123
_space_group_name_Hall '-P 4 2'
_cell_length_a 3.8360
_cell_length_b 3.8360
_cell_length_c 7.8246
_cell_angle_alpha 90.00
_cell_angle_beta 90.00
_cell_angle_gamma 90.00
loop_
_atom_site_label
_atom_site_type_symbol
_atom_site_fract_x
_atom_site_fract_y
_atom_site_fract_z
_atom_site_occupancy
Ho1 Ho 0.0000 0.0000 0.2220 1
Th1 Th 0.5000 0.5000 0.5000 1
Sn1 Sn 0.5000 0.5000 0.0000 1
```

Its energy relative to the lowest polymorph listed for this composition is 62 meV/atom. Its formation energy is -0.302 eV per atom. As for the magnetization: 0.000 μB per formula unit.



First-principles (PBE-GGA) data for a geometry-optimized Li2PdBr6 structure, as listed in Alexandria via LeMat-Bulk.

```
data_Li2PdBr6
_chemical_formula_sum 'Li4 Pd2 Br12'
_space_group_name_H-M_alt 'P 1 21/c 1'
_space_group_IT_number 14
_space_group_name_Hall '-P 2ybc'
_cell_length_a 6.6859
_cell_length_b 6.5422
_cell_length_c 12.9749
_cell_angle_alpha 90.00
_cell_angle_beta 120.99
_cell_angle_gamma 90.00
loop_
_atom_site_label
_atom_site_type_symbol
_atom_site_fract_x
_atom_site_fract_y
_atom_site_fract_z
_atom_site_occupancy
Li1 Li 0.1658 0.0012 0.1657 1
Pd1 Pd 0.5000 0.0000 0.0000 1
Br1 Br 0.1721 0.2100 0.8385 1
Br2 Br 0.1980 0.7262 0.5005 1
Br3 Br 0.4903 0.2153 0.1585 1
```

For the raw formation energy, the calculation gives -0.778 eV/atom. As for the magnetization: 0.000 μB per formula unit.



First-principles (PBE-GGA) data for a geometry-optimized VOsS structure, as listed in Alexandria via LeMat-Bulk.

```
data_VOsS
_chemical_formula_sum 'V4 Os4 S4'
_space_group_name_H-M_alt 'C 1 m 1'
_space_group_IT_number 8
_space_group_name_Hall 'C -2y'
_cell_length_a 16.0089
_cell_length_b 4.2035
_cell_length_c 2.9073
_cell_angle_alpha 90.00
_cell_angle_beta 90.12
_cell_angle_gamma 90.00
loop_
_atom_site_label
_atom_site_type_symbol
_atom_site_fract_x
_atom_site_fract_y
_atom_site_fract_z
_atom_site_occupancy
V1 V 0.0000 0.0000 0.0000 1
V2 V 0.2406 0.5000 0.4960 1
Os1 Os 0.0987 0.5000 0.0015 1
Os2 Os 0.1446 0.0000 0.5019 1
S1 S 0.3477 0.5000 0.9981 1
S2 S 0.4814 0.0000 0.4989 1
```

For the raw formation energy, the calculation gives -0.200 eV/atom. As for the magnetization: 0.000 μB per formula unit.



First-principles (PBE-GGA) data for a geometry-optimized Sm2AgPd3 structure, as listed in Alexandria via LeMat-Bulk.

```
data_Sm2AgPd3
_chemical_formula_sum 'Sm8 Ag4 Pd12'
_space_group_name_H-M_alt 'P n m a'
_space_group_IT_number 62
_space_group_name_Hall '-P 2ac 2n'
_cell_length_a 7.4397
_cell_length_b 3.8846
_cell_length_c 17.5757
_cell_angle_alpha 90.00
_cell_angle_beta 90.00
_cell_angle_gamma 90.00
loop_
_atom_site_label
_atom_site_type_symbol
_atom_site_fract_x
_atom_site_fract_y
_atom_site_fract_z
_atom_site_occupancy
Sm1 Sm 0.0976 0.2500 0.2083 1
Sm2 Sm 0.1593 0.2500 0.4285 1
Ag1 Ag 0.0098 0.7500 0.0620 1
Pd1 Pd 0.0893 0.2500 0.6569 1
Pd2 Pd 0.2132 0.2500 0.8087 1
Pd3 Pd 0.2244 0.7500 0.5526 1
```

Its energy relative to the lowest polymorph listed for this composition is 0 meV/atom. Its formation energy is -0.690 eV per atom. As for the magnetization: 0.000 μB per formula unit.